Crystalline SrFeTc2 at its relaxed geometry, computed with PBE.

Cell and atoms, written as CIF:
```
data_SrFeTc2
_cell_length_a 4.590
_cell_length_b 4.590
_cell_length_c 4.590
_cell_angle_alpha 60.00
_cell_angle_beta 60.00
_cell_angle_gamma 60.00
_space_group_name_H-M_alt 'P 1'
_space_group_IT_number 1
_space_group_name_Hall 'P 1'
loop_
_atom_site_label
_atom_site_type_symbol
_atom_site_fract_x
_atom_site_fract_y
_atom_site_fract_z
Sr1 Sr 0.000 0.000 0.000
Fe1 Fe 0.250 0.250 0.250
Tc1 Tc 0.500 0.500 0.500
Tc2 Tc 0.750 0.750 0.750
```

The calculation puts the total DFT energy (no corrections) at -6.7940 eV/atom. As for the total magnetization: 2.2 Bohr magnetons per cell.